! SrCr2Pt (meta-GGA SCAN, PBEsol geometry); values from VASP
&SYSTEM
  ibrav = 0, nat = 4, ntyp = 3
/
ATOMIC_SPECIES
Sr 87.62 Sr.upf
Cr 52.00 Cr.upf
Pt 195.08 Pt.upf
CELL_PARAMETERS angstrom
0.000 3.359 3.359
3.359 0.000 3.359
3.359 3.359 0.000
ATOMIC_POSITIONS angstrom
Sr 0.000 0.000 0.000
Cr 3.359 3.359 3.359
Cr 5.038 5.038 5.038
Pt 1.679 1.679 1.679
! formation energy: 0.046 eV per atom
! total energy: -32.2632 eV/atom